1.
# CaNb2Ru, relaxed, DFT GGA-PBEsol
# DFT formation energy = 0.480 eV per atom
# D(E_F) = 17.91 states/eV per cell
# volume = 17.44 Å³ per atom
data_CaNb2Ru
_symmetry_space_group_name_H-M 'F m -3 m'
_symmetry_Int_Tables_number 225
_symmetry_space_group_name_Hall '-F 4 2 3'
_cell_length_a 6.535
_cell_length_b 6.535
_cell_length_c 6.535
_cell_angle_alpha 90.00
_cell_angle_beta 90.00
_cell_angle_gamma 90.00
loop_
_atom_site_label
_atom_site_fract_x
_atom_site_fract_y
_atom_site_fract_z
Ca1 0.000 0.000 0.000
Nb1 0.250 0.250 0.250
Ru1 0.000 0.000 0.500

***

2.
# Ca2NbRu, relaxed, DFT GGA-PBEsol
# DFT formation energy = 0.938 eV per atom
# D(E_F) = 21.96 states/eV per cell
# volume = 21.42 Å³ per atom
data_Ca2NbRu
_symmetry_space_group_name_H-M 'F m -3 m'
_symmetry_Int_Tables_number 225
_symmetry_space_group_name_Hall '-F 4 2 3'
_cell_length_a 6.998
_cell_length_b 6.998
_cell_length_c 6.998
_cell_angle_alpha 90.00
_cell_angle_beta 90.00
_cell_angle_gamma 90.00
loop_
_atom_site_label
_atom_site_fract_x
_atom_site_fract_y
_atom_site_fract_z
Ca1 0.250 0.250 0.250
Nb1 0.000 0.000 0.000
Ru1 0.000 0.000 0.500

***

3.
# CaNb3Sb, relaxed, DFT GGA-PBEsol
# formation energy without anion corrections = 580 kJ/mol of formula units
# D(E_F) = 9.21 states/eV per cell
# volume = 26.43 Å³ per atom
data_CaNb3Sb
_symmetry_space_group_name_H-M 'P m -3 m'
_symmetry_Int_Tables_number 221
_symmetry_space_group_name_Hall '-P 4 2 3'
_cell_length_a 5.093
_cell_length_b 5.093
_cell_length_c 5.093
_cell_angle_alpha 90.00
_cell_angle_beta 90.00
_cell_angle_gamma 90.00
loop_
_atom_site_label
_atom_site_fract_x
_atom_site_fract_y
_atom_site_fract_z
Ca1 0.000 0.000 0.000
Nb1 0.000 0.500 0.500
Sb1 0.500 0.500 0.500

***

4.
# CaScNb2Zn, relaxed, DFT GGA-PBEsol
# DFT formation energy = 1.053 eV per atom
# D(E_F) = 3.05 states/eV per cell
# volume = 23.30 Å³ per atom
data_CaScNb2Zn
_symmetry_space_group_name_H-M 'P 4/m m m'
_symmetry_Int_Tables_number 123
_symmetry_space_group_name_Hall '-P 4 2'
_cell_length_a 4.741
_cell_length_b 4.741
_cell_length_c 5.184
_cell_angle_alpha 90.00
_cell_angle_beta 90.00
_cell_angle_gamma 90.00
loop_
_atom_site_label
_atom_site_fract_x
_atom_site_fract_y
_atom_site_fract_z
Ca1 0.000 0.000 0.000
Sc1 0.500 0.500 0.500
Nb1 0.000 0.500 0.500
Zn1 0.500 0.500 0.000

***

5.
# CaNbTc2Se, relaxed, DFT GGA-PBEsol
# formation energy without anion corrections = 1199 kJ/mol of formula units
# D(E_F) = 6.20 states/eV per cell
# volume = 19.78 Å³ per atom
data_CaNbTc2Se
_symmetry_space_group_name_H-M 'P 4/m m m'
_symmetry_Int_Tables_number 123
_symmetry_space_group_name_Hall '-P 4 2'
_cell_length_a 4.521
_cell_length_b 4.521
_cell_length_c 4.839
_cell_angle_alpha 90.00
_cell_angle_beta 90.00
_cell_angle_gamma 90.00
loop_
_atom_site_label
_atom_site_fract_x
_atom_site_fract_y
_atom_site_fract_z
Ca1 0.000 0.000 0.000
Nb1 0.000 0.000 0.500
Tc1 0.000 0.500 0.000
Se1 0.500 0.500 0.500

***

6.
# Ca2NbSi, relaxed, DFT GGA-PBEsol
# formation energy without anion corrections = 223 kJ/mol of formula units
# D(E_F) = 18.51 states/eV per cell
# volume = 31.77 Å³ per atom
data_Ca2NbSi
_symmetry_space_group_name_H-M 'I -4 2 d'
_symmetry_Int_Tables_number 122
_symmetry_space_group_name_Hall 'I -4 2bw'
_cell_length_a 10.093
_cell_length_b 10.093
_cell_length_c 4.989
_cell_angle_alpha 90.00
_cell_angle_beta 90.00
_cell_angle_gamma 90.00
loop_
_atom_site_label
_atom_site_fract_x
_atom_site_fract_y
_atom_site_fract_z
Ca1 0.115 0.250 0.125
Nb1 0.000 0.000 0.500
Si1 0.000 0.000 0.000

***

7.
# CaNb3Sn, relaxed, DFT GGA-PBEsol
# DFT formation energy = 1.913 eV per atom
# D(E_F) = 3.74 states/eV per cell
# volume = 20.70 Å³ per atom
data_CaNb3Sn
_symmetry_space_group_name_H-M 'P m -3 m'
_symmetry_Int_Tables_number 221
_symmetry_space_group_name_Hall '-P 4 2 3'
_cell_length_a 4.695
_cell_length_b 4.695
_cell_length_c 4.695
_cell_angle_alpha 90.00
_cell_angle_beta 90.00
_cell_angle_gamma 90.00
loop_
_atom_site_label
_atom_site_fract_x
_atom_site_fract_y
_atom_site_fract_z
Ca1 0.000 0.000 0.000
Nb1 0.000 0.000 0.500
Sn1 0.500 0.500 0.500

***

8.
# CaNbTc3, relaxed, DFT GGA-PBEsol
# DFT formation energy = 1.389 eV per atom
# D(E_F) = 6.29 states/eV per cell
# volume = 21.44 Å³ per atom
data_CaNbTc3
_symmetry_space_group_name_H-M 'P m -3 m'
_symmetry_Int_Tables_number 221
_symmetry_space_group_name_Hall '-P 4 2 3'
_cell_length_a 4.750
_cell_length_b 4.750
_cell_length_c 4.750
_cell_angle_alpha 90.00
_cell_angle_beta 90.00
_cell_angle_gamma 90.00
loop_
_atom_site_label
_atom_site_fract_x
_atom_site_fract_y
_atom_site_fract_z
Ca1 0.000 0.000 0.000
Nb1 0.500 0.500 0.500
Tc1 0.000 0.500 0.500

***

9.
# CaNbTe2, relaxed, DFT GGA-PBEsol
# formation energy without anion corrections = -95 kJ/mol of formula units
# distance to the lowest polymorph of the same formula = 282 meV/atom
# D(E_F) = 12.32 states/eV per cell
# volume = 36.50 Å³ per atom
data_CaNbTe2
_symmetry_space_group_name_H-M 'I -4 2 d'
_symmetry_Int_Tables_number 122
_symmetry_space_group_name_Hall 'I -4 2bw'
_cell_length_a 6.422
_cell_length_b 6.422
_cell_length_c 14.159
_cell_angle_alpha 90.00
_cell_angle_beta 90.00
_cell_angle_gamma 90.00
loop_
_atom_site_label
_atom_site_fract_x
_atom_site_fract_y
_atom_site_fract_z
Ca1 0.000 0.000 0.000
Nb1 0.000 0.000 0.500
Te1 0.208 0.250 0.625

***

10.
# CaNbTe2, relaxed, DFT GGA-PBEsol
# formation energy without anion corrections = -152 kJ/mol of formula units
# distance to the lowest polymorph of the same formula = 134 meV/atom
# D(E_F) = 7.64 states/eV per cell
# volume = 29.09 Å³ per atom
data_CaNbTe2
_symmetry_space_group_name_H-M 'R -3 m'
_symmetry_Int_Tables_number 166
_symmetry_space_group_name_Hall '-R 3 2"'
_cell_length_a 3.6887
_cell_length_b 3.6887
_cell_length_c 29.6272
_cell_angle_alpha 90.00
_cell_angle_beta 90.00
_cell_angle_gamma 120.00
loop_
_atom_site_label
_atom_site_fract_x
_atom_site_fract_y
_atom_site_fract_z
Ca1 0.0000 0.0000 0.0000
Nb1 0.0000 0.0000 0.5000
Te1 0.0000 0.0000 0.1053

***

11.
# CaNbTe2, relaxed, DFT GGA-PBEsol
# formation energy without anion corrections = -204 kJ/mol of formula units
# distance to the lowest polymorph of the same formula = 0 meV/atom
# D(E_F) = 18.03 states/eV per cell
# volume = 22.67 Å³ per atom
data_CaNbTe2
_symmetry_space_group_name_H-M 'F m -3 m'
_symmetry_Int_Tables_number 225
_symmetry_space_group_name_Hall '-F 4 2 3'
_cell_length_a 7.132
_cell_length_b 7.132
_cell_length_c 7.132
_cell_angle_alpha 90.00
_cell_angle_beta 90.00
_cell_angle_gamma 90.00
loop_
_atom_site_label
_atom_site_fract_x
_atom_site_fract_y
_atom_site_fract_z
Ca1 0.000 0.000 0.000
Nb1 0.000 0.000 0.500
Te1 0.250 0.250 0.250

***

12.
# CaNbTe3, relaxed, DFT GGA-PBEsol
# formation energy without anion corrections = -162 kJ/mol of formula units
# D(E_F) = 3.54 states/eV per cell
# volume = 31.81 Å³ per atom
data_CaNbTe3
_symmetry_space_group_name_H-M 'P m -3 m'
_symmetry_Int_Tables_number 221
_symmetry_space_group_name_Hall '-P 4 2 3'
_cell_length_a 5.418
_cell_length_b 5.418
_cell_length_c 5.418
_cell_angle_alpha 90.00
_cell_angle_beta 90.00
_cell_angle_gamma 90.00
loop_
_atom_site_label
_atom_site_fract_x
_atom_site_fract_y
_atom_site_fract_z
Ca1 0.000 0.000 0.000
Nb1 0.500 0.500 0.500
Te1 0.000 0.500 0.500

***

- The lowest D(E_F) belongs to which entry?
  CaScNb2Zn